Here is Sr2BeIr after structural relaxation from Alexandria. Energies are from PBE.

Structure (POSCAR):
```
Sr2BeIr
1.0
-5.218 -1.077 5.603
-0.818 -5.036 5.809
4.347 5.031 -3.945
Sr Be Ir
2 1 1
direct
0.753 0.253 0.500 Sr
0.993 0.993 0.000 Sr
0.408 0.408 0.000 Be
0.347 0.847 0.500 Ir
```

Calculated values
The spin magnetization comes out at 0.00 μB/atom. Its calculated total energy is -16.41 eV for the cell shown. Its energy relative to the elements is -0.45 eV per formula unit.